## ReRh2Pb (GGA-PBE)

Data for a relaxed ReRh2Pb crystal.

Lattice parameters (Å, degrees): 2.8844 4.7734 9.8385 90.00 90.00 90.00
Space group Imm2 (No. 44)
Unique sites:
1 Re 0.0000 0.0000 0.0000 (multiplicity 2)
2 Rh 0.0000 0.0000 0.5241 (multiplicity 2)
3 Rh 0.0000 0.5000 0.2797 (multiplicity 2)
4 Pb 0.0000 0.5000 0.7633 (multiplicity 2)

Results
Magnetization   0.00 μB/atom
E   -7.24 eV per atom
D(E_F)   7.22 states/eV/cell
ρ   14691 kg/m3

=====

## ReRh2Pb (GGA-PBE)

Data for a relaxed ReRh2Pb crystal.

Lattice parameters (Å, degrees): 6.4183 6.4183 6.4183 90.00 90.00 90.00
Space group F-43m (No. 216)
Unique sites:
1 Re 0.0000 0.0000 0.0000 (multiplicity 4)
2 Rh 0.0000 0.0000 0.5000 (multiplicity 4)
3 Rh 0.2500 0.2500 0.7500 (multiplicity 4)
4 Pb 0.2500 0.2500 0.2500 (multiplicity 4)

Results
Magnetization   0.00 μB/atom
E   -7.21 eV per atom
D(E_F)   13.30 states/eV/cell
ρ   15053 kg/m3

=====

## ReRhPb2 (GGA-PBE)

Data for a relaxed ReRhPb2 crystal.

Lattice parameters (Å, degrees): 4.3459 4.3459 18.6873 90.00 90.00 90.00
Space group I-42d (No. 122)
Unique sites:
1 Re 0.0000 0.0000 0.0000 (multiplicity 4)
2 Rh 0.0000 0.0000 0.5000 (multiplicity 4)
3 Pb 0.2478 0.2500 0.6250 (multiplicity 8)

Results
Magnetization   0.39 μB/atom
E   -5.77 eV per atom
D(E_F)   12.54 states/eV/cell
ρ   13240 kg/m3

=====

## Re2SbRhPb (GGA-PBE)

Data for a relaxed Re2SbRhPb crystal.

Lattice parameters (Å, degrees): 4.8572 4.8572 5.5654 90.00 90.00 90.00
Space group P4/mmm (No. 123)
Unique sites:
1 Re 0.0000 0.5000 0.0000 (multiplicity 2)
2 Sb 0.0000 0.0000 0.0000 (multiplicity 1)
3 Rh 0.5000 0.5000 0.5000 (multiplicity 1)
4 Pb 0.0000 0.0000 0.5000 (multiplicity 1)

Results
Magnetization   0.38 μB/atom
D(E_F)   5.94 states/eV/cell
ρ   10172 kg/m3
ΔE_f (raw)   2.451 eV per atom

=====

## ReRhPb2Se (GGA-PBE)

Data for a relaxed ReRhPb2Se crystal.

Lattice parameters (Å, degrees): 5.6286 5.6286 4.4993 90.00 90.00 90.00
Space group P4/mmm (No. 123)
Unique sites:
1 Re 0.0000 0.0000 0.0000 (multiplicity 1)
2 Rh 0.5000 0.5000 0.0000 (multiplicity 1)
3 Pb 0.0000 0.5000 0.5000 (multiplicity 2)
4 Se 0.5000 0.5000 0.5000 (multiplicity 1)

Results
Magnetization   0.80 μB/atom
D(E_F)   4.03 states/eV/cell
ρ   9115 kg/m3
ΔE_f (raw)   1.368 eV per atom

=====

## ReSi2RhPb (GGA-PBE)

Data for a relaxed ReSi2RhPb crystal.

Lattice parameters (Å, degrees): 5.0682 5.0682 4.9658 90.00 90.00 90.00
Space group P4/mmm (No. 123)
Unique sites:
1 Re 0.0000 0.0000 0.0000 (multiplicity 1)
2 Si 0.0000 0.5000 0.5000 (multiplicity 2)
3 Rh 0.5000 0.5000 0.0000 (multiplicity 1)
4 Pb 0.5000 0.5000 0.5000 (multiplicity 1)

Results
Magnetization   0.79 μB/atom
D(E_F)   3.53 states/eV/cell
ρ   7192 kg/m3
ΔE_f (raw)   2.324 eV per atom

=====

## ReSiRh2Pb (GGA-PBE)

Data for a relaxed ReSiRh2Pb crystal.

Lattice parameters (Å, degrees): 4.9310 4.9310 4.9830 90.00 90.00 90.00
Space group P4/mmm (No. 123)
Unique sites:
1 Re 0.0000 0.0000 0.0000 (multiplicity 1)
2 Si 0.5000 0.5000 0.0000 (multiplicity 1)
3 Rh 0.0000 0.5000 0.5000 (multiplicity 2)
4 Pb 0.5000 0.5000 0.5000 (multiplicity 1)

Results
Magnetization   0.84 μB/atom
D(E_F)   5.93 states/eV/cell
ρ   8598 kg/m3
ΔE_f (raw)   2.253 eV per atom

=====

## Re2TcRhPb (GGA-PBE)

Data for a relaxed Re2TcRhPb crystal.

Lattice parameters (Å, degrees): 4.9788 4.9788 4.8196 90.00 90.00 90.00
Space group P4/mmm (No. 123)
Unique sites:
1 Re 0.0000 0.5000 0.0000 (multiplicity 2)
2 Tc 0.0000 0.0000 0.5000 (multiplicity 1)
3 Rh 0.5000 0.5000 0.5000 (multiplicity 1)
4 Pb 0.5000 0.5000 0.0000 (multiplicity 1)

Results
Magnetization   0.08 μB/atom
E   -6.25 eV per atom
D(E_F)   7.81 states/eV/cell
ρ   10848 kg/m3

=====

Repeat the sixth record exactly.
## ReSi2RhPb (GGA-PBE)

Data for a relaxed ReSi2RhPb crystal.

Lattice parameters (Å, degrees): 5.0682 5.0682 4.9658 90.00 90.00 90.00
Space group P4/mmm (No. 123)
Unique sites:
1 Re 0.0000 0.0000 0.0000 (multiplicity 1)
2 Si 0.0000 0.5000 0.5000 (multiplicity 2)
3 Rh 0.5000 0.5000 0.0000 (multiplicity 1)
4 Pb 0.5000 0.5000 0.5000 (multiplicity 1)

Results
Magnetization   0.79 μB/atom
D(E_F)   3.53 states/eV/cell
ρ   7192 kg/m3
ΔE_f (raw)   2.324 eV per atom

=====

Question: Which formula does entry 4 have?
Answer: Re2SbRhPb